{"formula": "Mg5BiRh4", "functional": "PBE", "state": "relaxed", "lattice_angstrom": [[3.2122, 0.0000, 0.0000], [0.0000, 3.2122, 0.0000], [0.0000, 0.0000, 16.8115]], "species": ["Mg", "Mg", "Mg", "Mg", "Mg", "Bi", "Rh", "Rh", "Rh", "Rh"], "fractional_positions": [[0.0000, 0.0000, 0.0000], [0.0000, 0.0000, 0.1788], [0.0000, 0.0000, 0.3543], [0.0000, 0.0000, 0.6457], [0.0000, 0.0000, 0.8212], [0.5000, 0.5000, 0.5000], [0.5000, 0.5000, 0.0896], [0.5000, 0.5000, 0.2719], [0.5000, 0.5000, 0.7281], [0.5000, 0.5000, 0.9104]], "final_energy_ha_per_atom": -0.1667, "ef_ev_per_atom": -0.41, "dos_ef_per_ev_atom": 0.565, "magmom_total_mub_per_fu": 0.0, "space_group": "P4/mmm"}